An optimized crystal structure of KNa2SiF8, computed with PBE.

POSCAR file:
```
KNa2SiF8
1.0
5.266 0.000 0.000
-2.633 4.560 0.000
0.000 0.000 7.157
K Na Si F
1 2 1 8
Direct
0.000 0.000 0.000
0.333 0.667 0.367
0.667 0.333 0.633
0.000 0.000 0.500
0.153 0.307 0.638
0.153 0.847 0.638
0.307 0.153 0.362
0.333 0.667 0.046
0.667 0.333 0.954
0.693 0.847 0.638
0.847 0.153 0.362
0.847 0.693 0.362
```

Output
The density comes out at 2.6 g cm⁻³. As for the calculated total energy: -0.17296 Ha/atom. The calculation puts the uncorrected formation energy at -2.6957 eV/atom.

---

An optimized crystal structure of KNaSiF6, computed with PBE.

POSCAR file:
```
KNaSiF6
1.0
9.538 0.000 0.000
0.000 5.545 0.000
0.000 0.000 9.829
K Na Si F
4 4 4 24
Direct
0.014 0.250 0.174
0.486 0.750 0.674
0.514 0.250 0.326
0.986 0.750 0.826
0.125 0.750 0.449
0.375 0.250 0.949
0.625 0.750 0.051
0.875 0.250 0.551
0.227 0.250 0.578
0.273 0.750 0.078
0.727 0.250 0.922
0.773 0.750 0.422
0.119 0.250 0.435
0.121 0.031 0.646
0.121 0.469 0.646
0.167 0.750 0.218
0.173 0.529 0.003
0.173 0.971 0.003
0.327 0.029 0.503
0.327 0.471 0.503
0.333 0.250 0.718
0.379 0.531 0.146
0.379 0.969 0.146
0.381 0.750 0.935
0.619 0.250 0.065
0.621 0.031 0.854
0.621 0.469 0.854
0.667 0.750 0.282
0.673 0.529 0.497
0.673 0.971 0.497
0.827 0.029 0.997
0.827 0.471 0.997
0.833 0.250 0.782
0.879 0.531 0.354
0.879 0.969 0.354
0.881 0.750 0.565
```

Output
The density comes out at 2.6 g cm⁻³. The calculation puts the relative energy among the computed polymorphs at 0.0000 eV/atom. As for the calculated total energy: -0.19242 Ha/atom. The calculation puts the uncorrected formation energy at -3.1175 eV/atom.

---

Q: calculated total energy of number 1 (KNa2SiF8)?
A: -0.17296 Ha/atom